Material: MnNiW2
Method: DFT, PBE
State: optimized geometry

electronic total energy: -39.77 eV per cell
energy relative to the lowest polymorph listed for this composition: 178 meV/atom
space group: C2/m, No. 12
E_form: 0.273 eV per atom
spin magnetization: 1.91 μB per formula unit

Cell lengths 4.6238, 4.6238, 4.8454 Å; angles 81.33, 81.33, 33.57 degrees
Last column: magnetic moment on the atom in μB.
Positions (direct):
W  0.9953  0.9953  0.0027  -0.13
Ni  0.2500  0.2500  0.2500  0.03
Mn  0.7500  0.7500  0.7500  2.13
W  0.5047  0.5047  0.4973  -0.13